[1]
{"formula": "LiBi3Cl2O4", "functional": "meta-GGA SCAN", "state": "PBEsol geometry", "dos_ef_per_ev_atom": 0.0000, "raw_formation_energy_kj_per_mol_fu": -1354, "relative_energy_ev_per_atom": 0.0000, "energy_ev_per_atom": -29.304, "space_group": "Cmcm, No. 63", "cell": [[2.718, -6.013, 0.000], [2.718, 6.013, 0.000], [0.000, 0.000, 10.824]], "species": ["Li", "Li", "Bi", "Bi", "Bi", "Bi", "Bi", "Bi", "Cl", "Cl", "Cl", "Cl", "O", "O", "O", "O", "O", "O", "O", "O"], "fractional_positions": [[0.214, 0.786, 0.750], [0.786, 0.214, 0.250], [0.141, 0.859, 0.250], [0.346, 0.654, 0.009], [0.346, 0.654, 0.491], [0.654, 0.346, 0.509], [0.654, 0.346, 0.991], [0.859, 0.141, 0.750], [0.000, 0.000, 0.000], [0.000, 0.000, 0.500], [0.493, 0.507, 0.750], [0.507, 0.493, 0.250], [0.006, 0.487, 0.624], [0.006, 0.487, 0.876], [0.487, 0.006, 0.124], [0.487, 0.006, 0.376], [0.513, 0.994, 0.624], [0.513, 0.994, 0.876], [0.994, 0.513, 0.124], [0.994, 0.513, 0.376]]}

---

[2]
{"formula": "HfC", "functional": "meta-GGA SCAN", "state": "PBEsol geometry", "dos_ef_per_ev_atom": 0.1017, "relative_energy_ev_per_atom": 0.2134, "energy_ev_per_atom": -37.238, "space_group": "P6_3/mmc, No. 194", "e_form_ev_per_atom": -0.8511, "cell": [[3.288, 0.000, 0.000], [-1.644, 2.848, 0.000], [0.000, 0.000, 5.204]], "species": ["Hf", "Hf", "C", "C"], "fractional_positions": [[0.333, 0.667, 0.250], [0.667, 0.333, 0.750], [0.000, 0.000, 0.000], [0.000, 0.000, 0.500]]}

---

[3]
{"formula": "CoAg2OsS", "functional": "meta-GGA SCAN", "state": "PBEsol geometry", "dos_ef_per_ev_atom": 0.5377, "raw_formation_energy_kj_per_mol_fu": 520, "energy_ev_per_atom": -31.232, "space_group": "P4/mmm, No. 123", "cell": [[4.567, 0.000, 0.000], [0.000, 4.567, 0.000], [0.000, 0.000, 4.269]], "species": ["Co", "Ag", "Ag", "Os", "S"], "fractional_positions": [[0.000, 0.000, 0.000], [0.000, 0.500, 0.500], [0.500, 0.000, 0.500], [0.500, 0.500, 0.000], [0.500, 0.500, 0.500]]}

---

[4]
{"formula": "Sc2ReRu", "functional": "meta-GGA SCAN", "state": "PBEsol geometry", "dos_ef_per_ev_atom": 0.5345, "energy_ev_per_atom": -33.328, "space_group": "R-3m, No. 166", "e_form_ev_per_atom": 0.2715, "cell": [[1.455, 0.840, 9.305], [-1.455, 0.840, 9.305], [0.000, -1.680, 9.305]], "species": ["Sc", "Sc", "Re", "Ru"], "fractional_positions": [[0.094, 0.094, 0.094], [0.906, 0.906, 0.906], [0.000, 0.000, 0.000], [0.500, 0.500, 0.500]]}

---

[5]
{"formula": "Ce2SiPd14", "functional": "meta-GGA SCAN", "state": "PBEsol geometry", "dos_ef_per_ev_atom": 0.5761, "raw_formation_energy_kj_per_mol_fu": -990, "energy_ev_per_atom": -33.426, "space_group": "P4/nmm, No. 129", "cell": [[8.838, 0.000, 0.000], [0.000, 8.838, 0.000], [0.000, 0.000, 6.870]], "species": ["Ce", "Ce", "Ce", "Ce", "Si", "Si", "Pd", "Pd", "Pd", "Pd", "Pd", "Pd", "Pd", "Pd", "Pd", "Pd", "Pd", "Pd", "Pd", "Pd", "Pd", "Pd", "Pd", "Pd", "Pd", "Pd", "Pd", "Pd", "Pd", "Pd", "Pd", "Pd", "Pd", "Pd"], "fractional_positions": [[0.250, 0.250, 0.069], [0.250, 0.750, 0.500], [0.750, 0.250, 0.500], [0.750, 0.750, 0.931], [0.250, 0.250, 0.557], [0.750, 0.750, 0.443], [0.000, 0.000, 0.000], [0.000, 0.500, 0.000], [0.019, 0.250, 0.746], [0.085, 0.085, 0.386], [0.085, 0.415, 0.386], [0.099, 0.750, 0.850], [0.250, 0.019, 0.746], [0.250, 0.481, 0.746], [0.250, 0.599, 0.150], [0.250, 0.901, 0.150], [0.401, 0.750, 0.850], [0.415, 0.085, 0.386], [0.415, 0.415, 0.386], [0.481, 0.250, 0.746], [0.500, 0.000, 0.000], [0.500, 0.500, 0.000], [0.519, 0.750, 0.254], [0.585, 0.585, 0.614], [0.585, 0.915, 0.614], [0.599, 0.250, 0.150], [0.750, 0.099, 0.850], [0.750, 0.401, 0.850], [0.750, 0.519, 0.254], [0.750, 0.981, 0.254], [0.901, 0.250, 0.150], [0.915, 0.585, 0.614], [0.915, 0.915, 0.614], [0.981, 0.750, 0.254]]}

---

[6]
{"formula": "FeSb3As", "functional": "meta-GGA SCAN", "state": "PBEsol geometry", "dos_ef_per_ev_atom": 1.0900, "raw_formation_energy_kj_per_mol_fu": 568, "energy_ev_per_atom": -28.843, "space_group": "Pm-3m, No. 221", "cell": [[5.246, 0.000, 0.000], [0.000, 5.246, 0.000], [0.000, 0.000, 5.246]], "species": ["Fe", "Sb", "Sb", "Sb", "As"], "fractional_positions": [[0.000, 0.000, 0.000], [0.000, 0.500, 0.500], [0.500, 0.000, 0.500], [0.500, 0.500, 0.000], [0.500, 0.500, 0.500]]}

---

[7]
{"formula": "LiLaPb2", "functional": "meta-GGA SCAN", "state": "PBEsol geometry", "dos_ef_per_ev_atom": 0.3629, "energy_ev_per_atom": -49.921, "space_group": "P4/mmm, No. 123", "e_form_ev_per_atom": -0.6564, "cell": [[4.841, 0.000, 0.000], [0.000, 4.841, 0.000], [0.000, 0.000, 4.602]], "species": ["Li", "La", "Pb", "Pb"], "fractional_positions": [[0.000, 0.000, 0.000], [0.500, 0.500, 0.000], [0.000, 0.500, 0.500], [0.500, 0.000, 0.500]]}

---

[8]
{"formula": "MnV4O12", "functional": "meta-GGA SCAN", "state": "PBEsol geometry", "dos_ef_per_ev_atom": 0.0000, "raw_formation_energy_kj_per_mol_fu": -3866, "energy_ev_per_atom": -11.944, "space_group": "P1, No. 1", "cell": [[4.835, 0.000, 0.000], [0.073, 5.219, 0.000], [0.119, 0.824, 7.238]], "species": ["Mn", "V", "V", "V", "V", "O", "O", "O", "O", "O", "O", "O", "O", "O", "O", "O", "O"], "fractional_positions": [[0.000, 0.000, 0.000], [0.014, 0.603, 0.780], [0.474, 0.104, 0.286], [0.516, 0.132, 0.772], [0.978, 0.592, 0.309], [0.112, 0.670, 0.066], [0.191, 0.340, 0.361], [0.197, 0.957, 0.775], [0.317, 0.842, 0.371], [0.323, 0.455, 0.753], [0.334, 0.143, 0.064], [0.609, 0.129, 0.558], [0.689, 0.452, 0.264], [0.717, 0.854, 0.877], [0.814, 0.972, 0.224], [0.830, 0.314, 0.878], [0.892, 0.649, 0.566]]}

---

[9]
{"formula": "CsScS2N", "functional": "meta-GGA SCAN", "state": "PBEsol geometry", "dos_ef_per_ev_atom": 0.6062, "raw_formation_energy_kj_per_mol_fu": 640, "energy_ev_per_atom": -14.791, "space_group": "P4/mmm, No. 123", "cell": [[5.263, 0.000, 0.000], [0.000, 5.263, 0.000], [0.000, 0.000, 4.176]], "species": ["Cs", "Sc", "S", "S", "N"], "fractional_positions": [[0.000, 0.000, 0.000], [0.500, 0.500, 0.500], [0.000, 0.500, 0.000], [0.500, 0.000, 0.000], [0.000, 0.000, 0.500]]}

---

[10]
{"formula": "GaP2H15C5N2O8", "functional": "meta-GGA SCAN", "state": "PBEsol geometry", "dos_ef_per_ev_atom": 0.0000, "energy_ev_per_atom": -7.243, "space_group": "Pnnm, No. 58", "cell": [[8.891, 0.000, 0.000], [0.000, 15.233, 0.000], [0.000, 0.000, 8.938]], "species": ["Ga", "Ga", "Ga", "Ga", "P", "P", "P", "P", "P", "P", "P", "P", "H", "H", "H", "H", "H", "H", "H", "H", "H", "H", "H", "H", "H", "H", "H", "H", "H", "H", "H", "H", "H", "H", "H", "H", "H", "H", "H", "H", "H", "H", "H", "H", "H", "H", "H", "H", "H", "H", "H", "H", "H", "H", "H", "H", "H", "H", "H", "H", "H", "H", "H", "H", "H", "H", "H", "H", "H", "H", "H", "H", "C", "C", "C", "C", "C", "C", "C", "C", "C", "C", "C", "C", "C", "C", "C", "C", "C", "C", "C", "C", "N", "N", "N", "N", "N", "N", "N", "N", "O", "O", "O", "O", "O", "O", "O", "O", "O", "O", "O", "O", "O", "O", "O", "O", "O", "O", "O", "O", "O", "O", "O", "O", "O", "O", "O", "O", "O", "O", "O", "O"], "fractional_positions": [[0.000, 0.000, 0.249], [0.000, 0.000, 0.751], [0.500, 0.500, 0.251], [0.500, 0.500, 0.749], [0.156, 0.108, 0.000], [0.164, 0.912, 0.500], [0.336, 0.412, 0.000], [0.344, 0.608, 0.500], [0.656, 0.392, 0.500], [0.664, 0.588, 0.000], [0.836, 0.088, 0.500], [0.844, 0.892, 0.000], [0.026, 0.705, 0.357], [0.026, 0.705, 0.643], [0.047, 0.703, 0.000], [0.052, 0.580, 0.500], [0.078, 0.382, 0.265], [0.078, 0.382, 0.735], [0.115, 0.188, 0.500], [0.139, 0.444, 0.500], [0.160, 0.624, 0.100], [0.160, 0.624, 0.900], [0.180, 0.824, 0.136], [0.180, 0.824, 0.864], [0.199, 0.290, 0.000], [0.218, 0.240, 0.265], [0.218, 0.240, 0.735], [0.282, 0.740, 0.235], [0.282, 0.740, 0.765], [0.301, 0.790, 0.500], [0.320, 0.324, 0.364], [0.320, 0.324, 0.636], [0.340, 0.124, 0.400], [0.340, 0.124, 0.600], [0.361, 0.944, 0.000], [0.385, 0.688, 0.000], [0.422, 0.882, 0.235], [0.422, 0.882, 0.765], [0.448, 0.080, 0.000], [0.453, 0.203, 0.500], [0.474, 0.205, 0.143], [0.474, 0.205, 0.857], [0.526, 0.795, 0.143], [0.526, 0.795, 0.857], [0.547, 0.797, 0.500], [0.552, 0.920, 0.000], [0.578, 0.118, 0.235], [0.578, 0.118, 0.765], [0.615, 0.312, 0.000], [0.639, 0.056, 0.000], [0.660, 0.876, 0.400], [0.660, 0.876, 0.600], [0.680, 0.676, 0.364], [0.680, 0.676, 0.636], [0.699, 0.210, 0.500], [0.718, 0.260, 0.235], [0.718, 0.260, 0.765], [0.782, 0.760, 0.265], [0.782, 0.760, 0.735], [0.801, 0.710, 0.000], [0.820, 0.176, 0.136], [0.820, 0.176, 0.864], [0.840, 0.376, 0.100], [0.840, 0.376, 0.900], [0.861, 0.556, 0.500], [0.885, 0.812, 0.500], [0.922, 0.618, 0.265], [0.922, 0.618, 0.735], [0.948, 0.420, 0.500], [0.953, 0.297, 0.000], [0.974, 0.295, 0.357], [0.974, 0.295, 0.643], [0.075, 0.338, 0.362], [0.075, 0.338, 0.638], [0.153, 0.666, 0.000], [0.217, 0.283, 0.364], [0.217, 0.283, 0.636], [0.283, 0.783, 0.136], [0.283, 0.783, 0.864], [0.347, 0.166, 0.500], [0.425, 0.838, 0.138], [0.425, 0.838, 0.862], [0.575, 0.162, 0.138], [0.575, 0.162, 0.862], [0.653, 0.834, 0.500], [0.717, 0.217, 0.136], [0.717, 0.217, 0.864], [0.783, 0.717, 0.364], [0.783, 0.717, 0.636], [0.847, 0.334, 0.000], [0.925, 0.662, 0.362], [0.925, 0.662, 0.638], [0.060, 0.391, 0.500], [0.219, 0.227, 0.500], [0.281, 0.727, 0.000], [0.440, 0.891, 0.000], [0.560, 0.109, 0.000], [0.719, 0.273, 0.000], [0.781, 0.773, 0.500], [0.940, 0.609, 0.500], [0.029, 0.853, 0.500], [0.051, 0.097, 0.140], [0.051, 0.097, 0.860], [0.169, 0.973, 0.359], [0.169, 0.973, 0.641], [0.185, 0.360, 0.000], [0.218, 0.539, 0.500], [0.221, 0.200, 0.000], [0.279, 0.700, 0.500], [0.282, 0.039, 0.000], [0.315, 0.860, 0.500], [0.331, 0.473, 0.141], [0.331, 0.473, 0.859], [0.449, 0.597, 0.360], [0.449, 0.597, 0.640], [0.471, 0.353, 0.000], [0.529, 0.647, 0.000], [0.551, 0.403, 0.360], [0.551, 0.403, 0.640], [0.669, 0.527, 0.141], [0.669, 0.527, 0.859], [0.685, 0.140, 0.500], [0.718, 0.961, 0.000], [0.721, 0.300, 0.500], [0.779, 0.800, 0.000], [0.782, 0.461, 0.500], [0.815, 0.640, 0.000], [0.831, 0.027, 0.359], [0.831, 0.027, 0.641], [0.949, 0.903, 0.140], [0.949, 0.903, 0.860], [0.971, 0.147, 0.500]]}

---

[11]
{"formula": "Ba3TaIn", "functional": "meta-GGA SCAN", "state": "PBEsol geometry", "dos_ef_per_ev_atom": 1.4363, "relative_energy_ev_per_atom": 0.0000, "energy_ev_per_atom": -42.916, "space_group": "Pm-3m, No. 221", "e_form_ev_per_atom": 0.8085, "cell": [[5.979, 0.000, 0.000], [0.000, 5.979, 0.000], [0.000, 0.000, 5.979]], "species": ["Ba", "Ba", "Ba", "Ta", "In"], "fractional_positions": [[0.000, 0.000, 0.500], [0.000, 0.500, 0.000], [0.500, 0.000, 0.000], [0.000, 0.000, 0.000], [0.500, 0.500, 0.500]]}

---

[12]
{"formula": "RbMoNO2", "functional": "meta-GGA SCAN", "state": "PBEsol geometry", "dos_ef_per_ev_atom": 0.7455, "raw_formation_energy_kj_per_mol_fu": 1001, "energy_ev_per_atom": -13.401, "space_group": "P4/mmm, No. 123", "cell": [[4.163, 0.000, 0.000], [0.000, 4.163, 0.000], [0.000, 0.000, 4.415]], "species": ["Rb", "Mo", "N", "O", "O"], "fractional_positions": [[0.000, 0.000, 0.000], [0.500, 0.500, 0.500], [0.000, 0.000, 0.500], [0.000, 0.500, 0.000], [0.500, 0.000, 0.000]]}